Below is an optimized crystal structure of Tc2SbW2, with properties calculated at the GGA-PBE level.

Output
As for the crystal system: tetragonal. For the formation energy without anion corrections, the calculation gives 461 meV per atom. For the spin magnetization, the calculation gives 0.0 Bohr magnetons per cell.

Cell: 6.4024 6.4024 6.4024 Å, 142.61 142.61 53.92°
With the nearest neighbours (Å) after each atom.
Positions (direct):
Tc: 0.1178 0.1178 0.0000  4 W 2.55, 1 Tc 2.69
Tc: 0.8822 0.8822 0.0000  4 W 2.55, 1 Tc 2.69
Sb: 0.5000 0.5000 0.0000  8 Tc 3.20, 8 W 3.51
W: 0.2500 0.7500 0.5000  4 Tc 2.55
W: 0.7500 0.2500 0.5000  4 Tc 2.55